[1]
A plane-wave DFT calculation with GGA-PBE was carried out for an optimized crystal structure of NdDy5S6.

Unit cell a=6.8122 b=11.8194 c=6.8029 alpha=90.00 beta=109.64 gamma=90.00
Last column: nearest neighbours and their distance in Å.
Space group C2/m (No. 12)
One atom of each set of equivalent atoms:
Nd1 0.0000 0.0000 0.0000 x2  6 S 2.84-2.85
Dy1 0.0000 0.1622 0.5000 x4  6 S 2.74-2.79
Dy2 0.0000 0.3344 0.0000 x4  6 S 2.76-2.78
Dy3 0.0000 0.5000 0.5000 x2  6 S 2.72-2.79
S1 0.2422 0.5000 0.2527 x4  5 Dy 2.72-2.76, 1 Nd 2.84
S2 0.2437 0.3286 0.7441 x8  5 Dy 2.74-2.79, 1 Nd 2.85



[2]
A plane-wave DFT calculation with GGA-PBE was carried out for an optimized crystal structure of Pr3TeSeN.

Unit cell a=9.1080 b=4.1852 c=9.5544 alpha=90.00 beta=98.50 gamma=90.00
Last column: nearest neighbours and their distance in Å.
Space group P2_1/m (No. 11)
One atom of each set of equivalent atoms:
Pr1 0.0801 0.2500 0.3627 x2  3 Se 2.96-2.99, 2 Te 3.23
Pr2 0.3406 0.2500 0.9955 x2  3 N 2.32-2.40
Pr3 0.3832 0.7500 0.6605 x2  1 N 2.28
Te1 0.3291 0.7500 0.2932 x2  7 Pr 3.23-3.55
Se1 0.1522 0.2500 0.6788 x2  6 Pr 2.96-3.25
N1 0.4122 0.7500 0.9020 x2  4 Pr 2.28-2.40



[3]
A plane-wave DFT calculation with GGA-PBE was carried out for an optimized crystal structure of CsMnTe2.

Unit cell a=7.2246 b=3.9840 c=20.0913 alpha=90.00 beta=90.00 gamma=90.00
Last column: nearest neighbours and their distance in Å.
Space group Pnma (No. 62)
One atom of each set of equivalent atoms:
Cs1 0.0123 0.2500 0.1642 x4  2 Mn 3.81-4.26, 7 Te 3.96-4.09, 2 Cs 3.98
Mn1 0.0471 0.2500 0.4246 x4  5 Te 2.72-2.78
Te1 0.0146 0.2500 0.6648 x4  2 Mn 2.72
Te2 0.2466 0.7500 0.4857 x4  3 Mn 2.75-2.78



[4]
A plane-wave DFT calculation with GGA-PBE was carried out for an optimized crystal structure of ZrBiSb.

Unit cell a=4.2210 b=4.2210 c=8.7786 alpha=90.00 beta=90.00 gamma=90.00
Last column: nearest neighbours and their distance in Å.
Space group P4/nmm (No. 129, origin choice 2)
One atom of each set of equivalent atoms:
Zr1 0.2500 0.2500 0.2458 x2  4 Sb 3.07, 5 Bi 3.18-3.21
Bi1 0.2500 0.2500 0.8807 x2  5 Zr 3.18-3.21
Sb1 0.2500 0.7500 0.5000 x2  4 Sb 2.98, 4 Zr 3.07

## Properties
- Relative energy among the computed polymorphs: 0.000 eV per atom



Number 1: formation energy (no corrections) -46.109 kcal/mol of atoms, magnetization 0.00 Bohr magnetons per cell. Number 2: formation energy (no corrections) -33.873 kcal/mol of atoms, magnetization 0.00 Bohr magnetons per cell. Number 3: formation energy (no corrections) -12.933 kcal/mol of atoms, magnetization 16.00 Bohr magnetons per cell. Number 4: formation energy (no corrections) -8.519 kcal/mol of atoms, magnetization 0.00 Bohr magnetons per cell.